Material: WSe2Br
Method: DFT, GGA-PBEsol
State: relaxed

Properties
As for the distance to the lowest polymorph of the same formula: 1.26 eV per formula unit.

a = 6.555 Å, b = 6.555 Å, c = 6.555 Å
α = 90.00°, β = 90.00°, γ = 90.00°
Space group Fm-3m (No. 225)
One atom of each set of equivalent atoms:
W (0.000, 0.000, 0.000) [4 per cell]
Se (0.250, 0.250, 0.250) [8 per cell]
Br (0.000, 0.000, 0.500) [4 per cell]

Material: YWSeBr2
Method: DFT, GGA-PBEsol
State: relaxed

a = 5.020 Å, b = 5.020 Å, c = 4.862 Å
α = 90.00°, β = 90.00°, γ = 90.00°
Space group P4/mmm (No. 123)
One atom of each set of equivalent atoms:
Y (0.000, 0.000, 0.000) [1 per cell]
W (0.500, 0.500, 0.500) [1 per cell]
Se (0.500, 0.500, 0.000) [1 per cell]
Br (0.000, 0.500, 0.500) [2 per cell]

Material: Y2Se2Br
Method: DFT, GGA-PBEsol
State: relaxed

a = 7.830 Å, b = 7.830 Å, c = 3.717 Å
α = 90.00°, β = 90.00°, γ = 90.00°
Space group P4/mbm (No. 127)
One atom of each set of equivalent atoms:
Y (0.153, 0.347, 0.000) [4 per cell]
Se (0.141, 0.641, 0.500) [4 per cell]
Br (0.000, 0.000, 0.000) [2 per cell]

Material: YZnSe2Br
Method: DFT, GGA-PBEsol
State: relaxed

a = 5.430 Å, b = 5.430 Å, c = 5.379 Å
α = 90.00°, β = 90.00°, γ = 90.00°
Space group P4/mmm (No. 123)
One atom of each set of equivalent atoms:
Y (0.000, 0.000, 0.000) [1 per cell]
Zn (0.500, 0.500, 0.500) [1 per cell]
Se (0.000, 0.500, 0.000) [2 per cell]
Br (0.000, 0.000, 0.500) [1 per cell]

Material: Y2ZnSeBr
Method: DFT, GGA-PBEsol
State: relaxed

a = 5.299 Å, b = 5.299 Å, c = 4.657 Å
α = 90.00°, β = 90.00°, γ = 90.00°
Space group P4/mmm (No. 123)
One atom of each set of equivalent atoms:
Y (0.000, 0.500, 0.000) [2 per cell]
Zn (0.000, 0.000, 0.500) [1 per cell]
Se (0.500, 0.500, 0.500) [1 per cell]
Br (0.000, 0.000, 0.000) [1 per cell]

Material: YZrSeBr2
Method: DFT, GGA-PBEsol
State: relaxed

a = 5.146 Å, b = 5.146 Å, c = 5.194 Å
α = 90.00°, β = 90.00°, γ = 90.00°
Space group P4/mmm (No. 123)
One atom of each set of equivalent atoms:
Y (0.000, 0.000, 0.000) [1 per cell]
Zr (0.500, 0.500, 0.500) [1 per cell]
Se (0.500, 0.500, 0.000) [1 per cell]
Br (0.000, 0.500, 0.500) [2 per cell]

Looking at energy relative to the elements, uncorrected for the records above, in order, we have 2.74; 0.83; -9.19; -2.34; -0.27; -3.17 eV/f.u..
Looking at Fermi-level density of states for the records above, in order, we have 0.609; 1.171; 0.202; 0.907; 0.986; 1.020 states/eV per atom.